No. 1
A relaxed Pm2AgGeO6 crystal. Source: Alexandria via LeMat-Bulk, functional GGA-PBE.

Computed properties:
DFT total energy: -67.2 eV per cell
Raw formation energy: -2046 meV per atom

Unit cell a=5.4388 b=5.4388 c=4.8578 alpha=90.00 beta=90.00 gamma=90.00
Last column: nearest neighbours and their distance in Å.
Fractional positions:
Pm: 0.0000 0.5000 0.0000  4 O 2.36
Pm: 0.5000 0.0000 0.0000  4 O 2.36
Ag: 0.0000 0.0000 0.5654  5 O 2.20-2.23
Ge: 0.5000 0.5000 0.5901  5 O 1.78-1.86
O: 0.0000 0.0000 0.1118  1 Ag 2.20
O: 0.2724 0.2724 0.7217  1 Ge 1.86
O: 0.2724 0.7276 0.7217  1 Ge 1.86
O: 0.5000 0.5000 0.2234  1 Ge 1.78
O: 0.7276 0.2724 0.7217  1 Ge 1.86
O: 0.7276 0.7276 0.7217  1 Ge 1.86

***

No. 2
A relaxed PuAg2GeO6 crystal. Source: Alexandria via LeMat-Bulk, functional GGA-PBE.

Computed properties:
DFT total energy: -68.5 eV per cell
Raw formation energy: -1413 meV per atom

Unit cell a=5.5638 b=5.5638 c=5.5377 alpha=119.52 beta=119.52 gamma=61.41
Last column: nearest neighbours and their distance in Å.
Fractional positions:
Pu: 0.0000 0.0000 0.0000  6 O 2.10-2.12
Ag: 0.2514 0.2514 0.7417  5 O 2.31-2.52
Ag: 0.7486 0.7486 0.2583  5 O 2.31-2.52
Ge: 0.5000 0.5000 0.5000  6 O 1.92-1.96
O: 0.2138 0.6892 0.6889  1 Ge 1.92, 1 Pu 2.12
O: 0.2598 0.2598 0.1674  1 Ge 1.96, 1 Pu 2.10
O: 0.3108 0.7862 0.3111  1 Ge 1.92, 1 Pu 2.12
O: 0.6892 0.2138 0.6889  1 Ge 1.92, 1 Pu 2.12
O: 0.7402 0.7402 0.8326  1 Ge 1.96, 1 Pu 2.10
O: 0.7862 0.3108 0.3111  1 Ge 1.92, 1 Pu 2.12

***

No. 3
A relaxed PuAgGeO6 crystal. Source: Alexandria via LeMat-Bulk, functional GGA-PBE.

Computed properties:
DFT total energy: -130.7 eV per cell
Raw formation energy: -1531 meV per atom

Unit cell a=5.2595 b=5.2595 c=10.1460 alpha=90.00 beta=90.00 gamma=120.00
Last column: nearest neighbours and their distance in Å.
Fractional positions:
Pu: 0.3333 0.6667 0.2500  6 O 2.05
Pu: 0.6667 0.3333 0.7500  6 O 2.05
Ag: 0.0000 0.0000 0.0000  6 O 2.41
Ag: 0.0000 0.0000 0.5000  6 O 2.41
Ge: 0.3333 0.6667 0.7500  6 O 1.94
Ge: 0.6667 0.3333 0.2500  6 O 1.94
O: 0.0153 0.3716 0.6437  1 Ge 1.94, 1 Pu 2.05
O: 0.0153 0.6437 0.8563  1 Ge 1.94, 1 Pu 2.05
O: 0.3563 0.3716 0.8563  1 Ge 1.94, 1 Pu 2.05
O: 0.3563 0.9847 0.6437  1 Ge 1.94, 1 Pu 2.05
O: 0.3716 0.0153 0.1437  1 Ge 1.94, 1 Pu 2.05
O: 0.3716 0.3563 0.3563  1 Ge 1.94, 1 Pu 2.05
O: 0.6284 0.6437 0.6437  1 Ge 1.94, 1 Pu 2.05
O: 0.6284 0.9847 0.8563  1 Ge 1.94, 1 Pu 2.05
O: 0.6437 0.0153 0.3563  1 Ge 1.94, 1 Pu 2.05
O: 0.6437 0.6284 0.1437  1 Ge 1.94, 1 Pu 2.05
O: 0.9847 0.3563 0.1437  1 Ge 1.94, 1 Pu 2.05
O: 0.9847 0.6284 0.3563  1 Ge 1.94, 1 Pu 2.05

***

No. 4
A relaxed PuAgGe2O8 crystal. Source: Alexandria via LeMat-Bulk, functional GGA-PBE.

Computed properties:
DFT total energy: -82.9 eV per cell
Raw formation energy: -1401 meV per atom

Unit cell a=5.8848 b=5.8848 c=5.8848 alpha=108.26 beta=108.26 gamma=111.91
Last column: nearest neighbours and their distance in Å.
Fractional positions:
Pu: 0.0000 0.0000 0.0000  8 O 2.13-2.38
Ag: 0.7500 0.2500 0.5000  4 O 2.22
Ge: 0.2500 0.7500 0.5000  4 O 1.77
Ge: 0.5000 0.5000 0.0000  4 O 1.79
O: 0.0826 0.3817 0.2991  1 Ge 1.77
O: 0.0826 0.7836 0.7009  1 Ge 1.77
O: 0.1243 0.3065 0.8178  1 Ge 1.79
O: 0.2164 0.9174 0.2991  1 Ge 1.77
O: 0.4887 0.3065 0.1822  1 Ge 1.79
O: 0.6183 0.9174 0.7009  1 Ge 1.77
O: 0.6935 0.5113 0.8178  1 Ge 1.79
O: 0.6935 0.8757 0.1822  1 Ge 1.79

***

Q: The highest DFT total energy belongs to which entry?
A: Pm2AgGeO6

***

Q: Which of these has the lowest DFT total energy?
A: PuAgGeO6

***

Q: Which of these has the highest DFT total energy?
A: Pm2AgGeO6

***

Q: Which formula does entry 2 have?
A: PuAg2GeO6